The following is a PBE-GGA calculation of crystalline LiAl2Sn2 at its relaxed geometry, from the Alexandria database.

a b c (Å): 7.954 7.954 3.594
angles (deg): 90.00 90.00 90.00
Sites, in units of the cell vectors:
Li (0.000, 0.000, 0.000)
Li (0.500, 0.500, 0.000)
Sn (0.339, 0.839, 0.000)
Sn (0.839, 0.661, 0.000)
Sn (0.661, 0.161, 0.000)
Sn (0.161, 0.339, 0.000)
Al (0.132, 0.632, 0.500)
Al (0.632, 0.868, 0.500)
Al (0.868, 0.368, 0.500)
Al (0.368, 0.132, 0.500)

Total magnetic moment, μB/f.u.: 0.00
N(E_F), states/eV per atom: 0.4243
SG: P4/mbm (127)
Excess energy over the best structure of this formula in the dataset, eV per atom: 0.0232
Energy relative to the elements, eV per atom: 0.059



The following is a PBE-GGA calculation of crystalline Tl2SeCl at its relaxed geometry, from the Alexandria database.

a b c (Å): 7.645 7.645 4.200
angles (deg): 90.03 90.03 31.30
Sites, in units of the cell vectors:
Tl (0.965, 0.965, 0.124)
Tl (0.735, 0.735, 0.626)
Se (0.261, 0.261, 0.126)
Cl (0.539, 0.539, 0.625)

Total magnetic moment, μB/f.u.: 0.00
N(E_F), states/eV per atom: 0.1687
SG: Amm2 (38)
Excess energy over the best structure of this formula in the dataset, eV per atom: 0.0073
Energy relative to the elements, uncorrected, eV per atom: -0.574



The following is a PBE-GGA calculation of crystalline BeOs2Ru at its relaxed geometry, from the Alexandria database.

a b c (Å): 4.360 4.360 2.797
angles (deg): 90.00 90.00 90.00
Sites, in units of the cell vectors:
Ru (0.500, 0.000, 0.500)
Os (0.000, 0.000, 0.000)
Os (0.500, 0.500, 0.000)
Be (0.000, 0.500, 0.500)

Total magnetic moment, μB/f.u.: 0.00
N(E_F), states/eV per atom: 1.4139
SG: P4/mmm (123)
Energy relative to the elements, eV per atom: 0.393



The following is a PBE-GGA calculation of crystalline YRe2NiS at its relaxed geometry, from the Alexandria database.

a b c (Å): 5.107 4.567 5.107
angles (deg): 90.00 90.00 90.00
Site moments in Bohr magnetons follow the coordinates.
Sites, in units of the cell vectors:
Y (0.000, 0.000, 0.000)  -0.07
Re (0.000, 0.000, 0.500)  1.91
Re (0.500, 0.000, 0.000)  2.33
S (0.500, 0.500, 0.500)  -0.07
Ni (0.000, 0.500, 0.000)  0.34

Total magnetic moment, μB/f.u.: 4.99
N(E_F), states/eV per atom: 1.2414
SG: P4/mmm (123)
Energy relative to the elements, uncorrected, eV per atom: 2.846



The following is a PBE-GGA calculation of crystalline LiCrCl2 at its relaxed geometry, from the Alexandria database.

a b c (Å): 3.728 3.728 20.693
angles (deg): 90.00 90.00 120.00
Site moments in Bohr magnetons follow the coordinates.
Sites, in units of the cell vectors:
Li (0.000, 0.000, 0.516)  0.01
Li (0.333, 0.667, 0.183)  0.01
Li (0.667, 0.333, 0.849)  0.01
Cr (0.000, 0.000, 0.681)  4.21
Cr (0.333, 0.667, 0.347)  4.21
Cr (0.667, 0.333, 0.014)  4.21
Cl (0.000, 0.000, 0.797)  0.00
Cl (0.333, 0.667, 0.464)  0.00
Cl (0.667, 0.333, 0.130)  0.00
Cl (0.000, 0.000, 0.273)  0.03
Cl (0.333, 0.667, 0.940)  0.03
Cl (0.667, 0.333, 0.606)  0.03

Total magnetic moment, μB/f.u.: 5.00
N(E_F), states/eV per atom: 0.5887
SG: R3m (160)
Excess energy over the best structure of this formula in the dataset, eV per atom: 0.1428
Energy relative to the elements, uncorrected, eV per atom: -0.888



The following is a PBE-GGA calculation of crystalline LiPuReO6 at its relaxed geometry, from the Alexandria database.

a b c (Å): 5.450 5.450 9.298
angles (deg): 90.00 90.00 120.00
Site moments in Bohr magnetons follow the coordinates.
Sites, in units of the cell vectors:
Li (0.000, 0.000, 0.000)  0.00
Li (0.000, 0.000, 0.500)  0.00
Pu (0.333, 0.667, 0.250)  3.81
Pu (0.667, 0.333, 0.750)  3.81
Re (0.667, 0.333, 0.250)  0.40
Re (0.333, 0.667, 0.750)  0.40
O (0.656, 0.622, 0.136)  -0.04
O (0.966, 0.344, 0.136)  -0.04
O (0.344, 0.966, 0.636)  -0.04
O (0.034, 0.656, 0.864)  -0.04
O (0.378, 0.344, 0.364)  -0.04
O (0.966, 0.622, 0.364)  -0.04
O (0.622, 0.966, 0.864)  -0.04
O (0.656, 0.034, 0.364)  -0.04
O (0.034, 0.378, 0.636)  -0.04
O (0.378, 0.034, 0.136)  -0.04
O (0.622, 0.656, 0.636)  -0.04
O (0.344, 0.378, 0.864)  -0.04

Total magnetic moment, μB/f.u.: 4.00
N(E_F), states/eV per atom: 0.5333
SG: P-31c (163)
Energy relative to the elements, uncorrected, eV per atom: -2.054



The following is a PBE-GGA calculation of crystalline BaPm3Pa4N12 at its relaxed geometry, from the Alexandria database.

a b c (Å): 7.462 7.462 7.462
angles (deg): 109.47 109.47 109.47
Sites, in units of the cell vectors:
Ba (0.000, 0.000, 0.000)
Pm (0.000, 0.500, 0.500)
Pm (0.500, 0.500, 0.000)
Pm (0.500, 0.000, 0.500)
Pa (0.500, 0.000, 0.000)
Pa (0.500, 0.500, 0.500)
Pa (0.000, 0.500, 0.000)
Pa (0.000, 0.000, 0.500)
N (0.300, 0.794, 0.094)
N (0.700, 0.206, 0.906)
N (0.700, 0.794, 0.493)
N (0.906, 0.700, 0.206)
N (0.794, 0.094, 0.300)
N (0.206, 0.507, 0.300)
N (0.507, 0.300, 0.206)
N (0.206, 0.906, 0.700)
N (0.300, 0.206, 0.507)
N (0.094, 0.300, 0.794)
N (0.794, 0.493, 0.700)
N (0.493, 0.700, 0.794)

Total magnetic moment, μB/f.u.: 0.00
N(E_F), states/eV per atom: 1.1520
SG: Im-3 (204)
Energy relative to the elements, uncorrected, eV per atom: -1.114



The following is a PBE-GGA calculation of crystalline Cd2PbAu at its relaxed geometry, from the Alexandria database.

a b c (Å): 3.497 3.497 9.504
angles (deg): 79.40 79.40 60.00
Sites, in units of the cell vectors:
Cd (0.072, 0.072, 0.783)
Cd (0.260, 0.260, 0.219)
Pb (0.501, 0.501, 0.498)
Au (0.666, 0.666, 0.001)

Total magnetic moment, μB/f.u.: 0.00
N(E_F), states/eV per atom: 0.4170
SG: R3m (160)
Energy relative to the elements, eV per atom: 0.003



The following is a PBE-GGA calculation of crystalline Tl2RePd at its relaxed geometry, from the Alexandria database.

a b c (Å): 4.752 4.752 4.752
angles (deg): 60.00 60.00 60.00
Sites, in units of the cell vectors:
Re (0.500, 0.500, 0.500)
Tl (0.250, 0.250, 0.250)
Tl (0.750, 0.750, 0.750)
Pd (0.000, 0.000, 0.000)

Total magnetic moment, μB/f.u.: 0.00
N(E_F), states/eV per atom: 0.7270
SG: Fm-3m (225)
Excess energy over the best structure of this formula in the dataset, eV per atom: 0.0000
Energy relative to the elements, eV per atom: 0.759



The following is a PBE-GGA calculation of crystalline RbVRu3 at its relaxed geometry, from the Alexandria database.

a b c (Å): 4.693 4.693 4.693
angles (deg): 90.00 90.00 90.00
Site moments in Bohr magnetons follow the coordinates.
Sites, in units of the cell vectors:
Ru (0.000, 0.500, 0.000)  1.19
Ru (0.000, 0.000, 0.500)  1.19
Ru (0.500, 0.000, 0.000)  1.19
Rb (0.500, 0.500, 0.500)  0.01
V (0.000, 0.000, 0.000)  -0.47

Total magnetic moment, μB/f.u.: 3.29
N(E_F), states/eV per atom: 1.3154
SG: Pm-3m (221)
Energy relative to the elements, eV per atom: 1.331



The following is a PBE-GGA calculation of crystalline CoIr2Os2 at its relaxed geometry, from the Alexandria database.

a b c (Å): 2.707 5.990 8.038
angles (deg): 145.04 89.95 76.99
Site moments in Bohr magnetons follow the coordinates.
Sites, in units of the cell vectors:
Co (0.500, 0.500, 0.500)  0.66
Ir (0.712, 0.082, 0.696)  0.02
Ir (0.288, 0.918, 0.304)  0.02
Os (0.104, 0.293, 0.099)  -0.03
Os (0.896, 0.707, 0.901)  -0.03

Total magnetic moment, μB/f.u.: 0.63
N(E_F), states/eV per atom: 0.9715
SG: P-1 (2)
Energy relative to the elements, eV per atom: 0.054



The following is a PBE-GGA calculation of crystalline POsAuS2 at its relaxed geometry, from the Alexandria database.

a b c (Å): 4.641 4.641 4.599
angles (deg): 90.00 90.00 90.00
Sites, in units of the cell vectors:
Os (0.000, 0.000, 0.000)
S (0.000, 0.500, 0.000)
S (0.500, 0.000, 0.000)
Au (0.500, 0.500, 0.500)
P (0.000, 0.000, 0.500)

Total magnetic moment, μB/f.u.: 0.00
N(E_F), states/eV per atom: 0.9920
SG: P4/mmm (123)
Excess energy over the best structure of this formula in the dataset, eV per atom: 0.0000
Energy relative to the elements, uncorrected, eV per atom: 0.809